Record 1
K2BrCl6F | PBE | relaxed

Lattice parameters (Å, degrees): 7.1673 7.1673 7.1673 60.00 60.00 60.00
Fractional positions:
K (0.2500, 0.2500, 0.2500)
K (0.7500, 0.7500, 0.7500)
Br (0.0000, 0.0000, 0.0000)
Cl (0.7571, 0.2429, 0.7571)
Cl (0.2429, 0.2429, 0.7571)
Cl (0.7571, 0.7571, 0.2429)
Cl (0.2429, 0.7571, 0.7571)
Cl (0.7571, 0.2429, 0.2429)
Cl (0.2429, 0.7571, 0.2429)
F (0.5000, 0.5000, 0.5000)

## Properties
The calculated volume comes out at 26.03 A^3/atom. The value obtained for the uncorrected formation energy is -0.745 eV per atom. The space group is Fm-3m. The final energy is -2.4264 eV/atom.



Record 2
K4Br2ClF | PBE | relaxed

Lattice parameters (Å, degrees): 8.9438 8.9438 9.0221 120.26 120.26 89.84
Fractional positions:
K (0.2241, 0.7608, 0.9925)
K (0.7392, 0.2759, 0.5075)
K (0.2608, 0.7241, 0.4925)
K (0.7759, 0.2392, 0.0075)
K (0.7545, 0.7473, 0.9730)
K (0.7527, 0.7455, 0.5270)
K (0.2473, 0.2545, 0.4730)
K (0.2455, 0.2527, 0.0270)
Br (0.5000, 0.0000, 0.0000)
Br (0.5000, 0.0000, 0.5000)
Br (0.0000, 0.0000, 0.5000)
Br (0.5000, 0.5000, 0.0000)
Cl (0.0000, 0.5000, 0.0000)
Cl (0.0000, 0.5000, 0.5000)
F (0.5000, 0.5000, 0.5000)
F (0.0000, 0.0000, 0.0000)

## Properties
The calculated volume comes out at 31.68 A^3/atom. The value obtained for the uncorrected formation energy is -1.995 eV per atom. The density of states at the Fermi level is 0.000 states/eV per cell. The space group is C2/c. The final energy is -3.4267 eV/atom.



Record 3
K8Br4Cl3F | PBE | relaxed

Lattice parameters (Å, degrees): 9.0788 9.1412 9.0861 119.80 119.97 90.00
Each line ends with the local moment (μB).
Fractional positions:
K (0.2346, 0.7268, 0.9923)  0.00
K (0.2367, 0.7288, 0.4734)  0.00
K (0.2541, 0.2624, 0.5083)  0.00
K (0.7577, 0.7268, 0.9923)  0.00
K (0.2423, 0.2732, 0.0077)  0.00
K (0.7459, 0.7376, 0.4917)  0.00
K (0.7633, 0.2712, 0.5266)  0.00
K (0.7654, 0.2732, 0.0077)  0.00
Br (0.5000, 0.0000, 0.0000)  0.06
Br (0.5000, 0.0000, 0.5000)  0.01
Br (0.0000, 0.0000, 0.0000)  0.01
Br (0.0000, 0.0000, 0.5000)  0.01
Cl (0.5000, 0.5000, 0.0000)  0.00
Cl (0.5000, 0.5000, 0.5000)  0.00
Cl (0.0000, 0.5000, 0.5000)  0.00
F (0.0000, 0.5000, 0.0000)  0.00

## Properties
The calculated volume comes out at 33.44 A^3/atom. The value obtained for the uncorrected formation energy is -1.919 eV per atom. The density of states at the Fermi level is 0.000 states/eV per cell. The space group is C2/m. The final energy is -3.3494 eV/atom.



Record 4
RbLiBrClF | PBE | relaxed

Lattice parameters (Å, degrees): 4.5224 4.9244 6.4674 85.25 83.59 70.57
Fractional positions:
Rb (0.3207, 0.7793, 0.8825)
Li (0.7394, 0.1655, 0.5034)
Br (0.7693, 0.6681, 0.3349)
Cl (0.2664, 0.1671, 0.3372)
F (0.7024, 0.1261, 0.7785)

## Properties
The calculated volume comes out at 26.96 A^3/atom. The value obtained for the uncorrected formation energy is -1.744 eV per atom. The density of states at the Fermi level is 0.354 states/eV per cell. The space group is P1. The final energy is -3.3986 eV/atom.



Record 5
RbLiBrClF | PBE | relaxed

Lattice parameters (Å, degrees): 4.0873 4.4685 8.6249 75.63 76.85 63.33
Each line ends with the local moment (μB).
Fractional positions:
Rb (0.2186, 0.7099, 0.5065)  0.00
Li (0.8843, 0.9377, 0.9628)  0.00
Br (0.1310, 0.2868, 0.1100)  0.45
Cl (0.4444, 0.9792, 0.7981)  0.13
F (0.9319, 0.3895, 0.3892)  0.23

## Properties
The calculated volume comes out at 27.02 A^3/atom. The value obtained for the uncorrected formation energy is -1.582 eV per atom. The space group is P1. The final energy is -3.2360 eV/atom.



Record 6
NdBrClF | PBE | relaxed

Lattice parameters (Å, degrees): 4.1249 4.1249 7.7056 90.04 105.49 120.00
Fractional positions:
Nd (0.5009, 0.6150, 0.1160)
Br (0.3485, 0.0392, 0.3877)
Cl (0.0086, 0.8686, 0.8772)
F (0.8340, 0.2816, 0.1156)

## Properties
The calculated volume comes out at 27.00 A^3/atom. The value obtained for the uncorrected formation energy is -2.768 eV per atom. The density of states at the Fermi level is 0.000 states/eV per cell. The space group is R3m. The final energy is -5.3072 eV/atom.



Record 7
OsBr2ClF | PBE | relaxed

Lattice parameters (Å, degrees): 5.0051 4.6793 5.0051 90.00 90.00 90.00
Each line ends with the local moment (μB).
Fractional positions:
F (0.5000, 0.5000, 0.5000)  -0.21
Os (0.0000, 0.0000, 0.0000)  1.02
Br (0.0000, 0.0000, 0.5000)  0.04
Br (0.5000, 0.0000, 0.0000)  0.19
Cl (0.0000, 0.5000, 0.0000)  0.12

## Properties
The calculated volume comes out at 23.44 A^3/atom. The value obtained for the uncorrected formation energy is 0.231 eV per atom. The density of states at the Fermi level is 6.854 states/eV per cell. The space group is P4/mmm. The final energy is -3.4280 eV/atom.



Record 8
PBrCl2F | PBE | relaxed

Lattice parameters (Å, degrees): 5.6092 5.6092 3.6258 90.00 90.00 90.00
Each line ends with the local moment (μB).
Fractional positions:
P (0.0000, 0.0000, 0.5000)  -0.02
F (0.0000, 0.0000, 0.0000)  -0.01
Br (0.5000, 0.5000, 0.5000)  0.72
Cl (0.0000, 0.5000, 0.0000)  0.27
Cl (0.5000, 0.0000, 0.0000)  0.27

## Properties
The calculated volume comes out at 22.82 A^3/atom. The value obtained for the uncorrected formation energy is 0.324 eV per atom. The density of states at the Fermi level is 4.283 states/eV per cell. The space group is P4/mmm. The final energy is -2.2057 eV/atom.



It is found that the spin magnetization values, taken in the order of the records, are 0.00, 0.00, 0.12, 0.00, 1.00, 0.00, 1.30, 1.55 μB per formula unit.